# Pr2ZrUN4

A geometry-optimized Pr2ZrUN4 structure (GGA-PBE, the Alexandria database).

Cell: 3.4833 5.9406 6.1562 Å, 108.60 90.00 90.00°
Atoms (fractional coordinates):
Pr (0.5000, 0.0000, 0.5000)
Pr (0.0000, 0.5000, 0.5000)
Zr (0.0000, 0.0000, 0.0000)
U (0.5000, 0.5000, 0.0000)
N (0.5000, 0.2431, 0.2030)
N (0.5000, 0.7569, 0.7970)
N (0.0000, 0.2681, 0.7974)
N (0.0000, 0.7319, 0.2026)

## Properties
**Size of the total moment**: 0.000 μB per atom
**Formation energy from raw total energies**: -1478 meV per atom
**SG**: P2/m